[1]
DFT (PBE) results for a relaxed ScHg crystal.

Geometry as POSCAR:
```
ScHg
1.0
7.876 0.000 0.000
0.000 7.876 0.000
0.000 0.000 7.876
Sc Hg
6 6
Direct
0.000 0.250 0.500
0.000 0.750 0.500
0.250 0.500 0.000
0.500 0.000 0.250
0.500 0.000 0.750
0.750 0.500 0.000
0.000 0.500 0.250
0.000 0.500 0.750
0.250 0.000 0.500
0.500 0.250 0.000
0.500 0.750 0.000
0.750 0.000 0.500
```

Results
Formation energy from the elements: 0.570 eV/atom
M_tot: 2.77 Bohr magnetons per cell


[2]
DFT (PBE) results for a relaxed RbNbTe crystal.

Geometry as POSCAR:
```
RbNbTe
1.0
4.133 0.000 0.000
0.000 4.133 0.000
0.000 0.000 12.622
Rb Nb Te
2 2 2
Direct
0.250 0.250 0.172
0.750 0.750 0.828
0.250 0.750 0.500
0.750 0.250 0.500
0.250 0.250 0.656
0.750 0.750 0.344
```

Results
Excess energy over the best structure of this formula in the dataset: 0.0 kJ/mol of atoms
Formation energy from raw total energies: -40 kJ/mol of atoms
M_tot: 0.00 Bohr magnetons per cell


[3]
DFT (PBE) results for a relaxed Sr2LaSb crystal.

Geometry as POSCAR:
```
Sr2LaSb
1.0
-2.112 2.454 8.512
2.112 -2.454 8.512
2.112 2.454 -8.512
Sr La Sb
2 1 1
Direct
0.171 0.171 0.000
0.829 0.829 0.000
0.500 0.000 0.500
0.000 0.500 0.500
```

Results
Formation energy from raw total energies: -46 kJ/mol of atoms
M_tot: 0.00 Bohr magnetons per cell


[4]
DFT (PBE) results for a relaxed PmNd2HoSe5 crystal.

Geometry as POSCAR:
```
PmNd2HoSe5
1.0
5.123 0.000 0.000
0.000 5.123 0.000
0.000 0.000 10.933
Pm Nd Ho Se
1 2 1 5
Direct
0.000 0.000 0.000
0.500 0.500 0.328
0.500 0.500 0.672
0.000 0.000 0.500
0.000 0.000 0.250
0.000 0.000 0.750
0.000 0.500 0.500
0.500 0.000 0.500
0.500 0.500 0.000
```

Results
Formation energy from raw total energies: -124 kJ/mol of atoms
M_tot: 0.00 Bohr magnetons per cell


[5]
DFT (PBE) results for a relaxed Pm6Si2Ge crystal.

Geometry as POSCAR:
```
Pm6Si2Ge
1.0
-4.845 4.960 5.146
4.845 -4.960 5.146
4.845 4.960 -5.146
Pm Si Ge
12 4 2
Direct
0.044 0.243 0.800
0.180 0.269 0.449
0.180 0.731 0.911
0.324 0.034 0.710
0.324 0.615 0.290
0.443 0.243 0.200
0.557 0.757 0.800
0.676 0.385 0.710
0.676 0.966 0.290
0.820 0.269 0.089
0.820 0.731 0.551
0.956 0.757 0.200
0.115 0.615 0.500
0.375 0.000 0.375
0.625 0.000 0.625
0.885 0.385 0.500
0.000 0.000 0.000
0.500 0.500 0.000
```

Results
Excess energy over the best structure of this formula in the dataset: 0.0 kJ/mol of atoms
Formation energy from raw total energies: -53 kJ/mol of atoms
M_tot: 0.00 Bohr magnetons per cell


[6]
DFT (PBE) results for a relaxed Na2CdCl crystal.

Geometry as POSCAR:
```
Na2CdCl
1.0
3.387 0.000 0.000
0.000 3.387 0.000
0.000 0.000 8.571
Na Cd Cl
2 1 1
Direct
0.000 0.000 0.201
0.000 0.000 0.799
0.500 0.500 0.500
0.500 0.500 0.000
```

Results
Excess energy over the best structure of this formula in the dataset: 1.9 kJ/mol of atoms
Formation energy from raw total energies: -78 kJ/mol of atoms
M_tot: 0.00 Bohr magnetons per cell


[7]
DFT (PBE) results for a relaxed KNa2TeS crystal.

Geometry as POSCAR:
```
KNa2TeS
1.0
5.297 0.000 0.000
0.000 5.297 0.000
0.000 0.000 6.061
K Na Te S
1 2 1 1
Direct
0.000 0.000 0.000
0.000 0.500 0.500
0.500 0.000 0.500
0.500 0.500 0.000
0.000 0.000 0.500
```

Results
Formation energy from raw total energies: -70 kJ/mol of atoms
M_tot: 1.02 Bohr magnetons per cell


[8]
DFT (PBE) results for a relaxed Pr5Pt2 crystal.

Geometry as POSCAR:
```
Pr5Pt2
1.0
8.676 -3.407 0.000
8.676 3.407 0.000
-0.877 0.000 7.272
Pr Pt
10 4
Direct
0.068 0.932 0.750
0.149 0.289 0.313
0.289 0.149 0.813
0.300 0.513 0.072
0.487 0.700 0.428
0.513 0.300 0.572
0.700 0.487 0.928
0.711 0.851 0.187
0.851 0.711 0.687
0.932 0.068 0.250
0.087 0.690 0.425
0.310 0.913 0.075
0.690 0.087 0.925
0.913 0.310 0.575
```

Results
Formation energy from the elements: -0.681 eV/atom
M_tot: 0.00 Bohr magnetons per cell


[9]
DFT (PBE) results for a relaxed Ta2CdHRu crystal.

Geometry as POSCAR:
```
Ta2CdHRu
1.0
4.151 0.000 0.000
0.000 4.151 0.000
0.000 0.000 4.118
Ta Cd H Ru
2 1 1 1
Direct
0.000 0.500 0.000
0.500 0.000 0.000
0.000 0.000 0.500
0.500 0.500 0.000
0.500 0.500 0.500
```

Results
M_tot: 0.00 Bohr magnetons per cell


[10]
DFT (PBE) results for a relaxed TaHSe3 crystal.

Geometry as POSCAR:
```
TaHSe3
1.0
5.036 0.000 0.000
0.000 5.036 0.000
0.000 0.000 5.036
Ta H Se
1 1 3
Direct
0.000 0.000 0.000
0.500 0.500 0.500
0.000 0.000 0.500
0.000 0.500 0.000
0.500 0.000 0.000
```

Results
Excess energy over the best structure of this formula in the dataset: 53.7 kJ/mol of atoms
M_tot: 1.00 Bohr magnetons per cell


[11]
DFT (PBE) results for a relaxed SmPa2Ga6 crystal.

Geometry as POSCAR:
```
SmPa2Ga6
1.0
7.782 0.000 0.000
-3.891 6.740 0.000
0.000 0.000 3.525
Sm Pa Ga
1 2 6
Direct
0.000 0.000 0.000
0.333 0.667 0.000
0.667 0.333 0.000
0.000 0.335 0.500
0.000 0.665 0.500
0.335 0.000 0.500
0.335 0.335 0.500
0.665 0.000 0.500
0.665 0.665 0.500
```

Results
Excess energy over the best structure of this formula in the dataset: 0.0 kJ/mol of atoms
Formation energy from the elements: -0.413 eV/atom
M_tot: 0.00 Bohr magnetons per cell


[12]
DFT (PBE) results for a relaxed ZnRe2Ni crystal.

Geometry as POSCAR:
```
ZnRe2Ni
1.0
3.068 0.000 0.000
0.000 3.068 0.000
0.000 0.000 5.880
Zn Re Ni
1 2 1
Direct
0.000 0.000 0.000
0.000 0.000 0.476
0.500 0.500 0.715
0.500 0.500 0.204
```

Results
Formation energy from the elements: 0.110 eV/atom
M_tot: 0.00 Bohr magnetons per cell


[13]
DFT (PBE) results for a relaxed DyEr3Tm2Se6 crystal.

Geometry as POSCAR:
```
DyEr3Tm2Se6
1.0
8.795 -2.012 0.000
8.795 2.012 0.000
-1.904 0.000 7.877
Dy Er Tm Se
1 3 2 6
Direct
0.000 0.000 0.000
0.000 0.000 0.500
0.335 0.335 0.167
0.665 0.665 0.833
0.334 0.334 0.669
0.666 0.666 0.331
0.168 0.168 0.085
0.168 0.168 0.582
0.499 0.499 0.747
0.501 0.501 0.253
0.832 0.832 0.418
0.832 0.832 0.915
```

Results
Formation energy from raw total energies: -163 kJ/mol of atoms
M_tot: 0.00 Bohr magnetons per cell


The records above yield density values of 5008 4714 4102 5747 6706 3273 2389 8456 13493 5445 9259 14893 8791 kg/m³, respectively.
The records above yield total energy values of -2.7462 -5.1398 -3.5830 -5.3212 -5.4312 -2.1577 -2.9296 -5.8207 -7.3692 -4.8917 -5.0656 -7.8782 -5.7020 eV/atom, respectively.